Run w
NbHRh2W | PBE-GGA | optimized geometry

Results
Calculated density (Mg/m³): 12.58
Symmetry: P4/mmm (123)
Total magnetization (μB/f.u.): 0.00
N(E_F) (states/eV/atom): 0.413

Unit cell a=3.9317 b=3.9317 c=4.1278 alpha=90.00 beta=90.00 gamma=90.00
Sites, in units of the cell vectors:
Nb (0.0000, 0.0000, 0.0000)
H (0.0000, 0.0000, 0.5000)
Rh (0.0000, 0.5000, 0.5000)
Rh (0.5000, 0.0000, 0.5000)
W (0.5000, 0.5000, 0.0000)

Run x
NbHRh2W | PBE-GGA | optimized geometry

Results
Calculated density (Mg/m³): 12.57
Symmetry: P4/mmm (123)
Total magnetization (μB/f.u.): 0.00
N(E_F) (states/eV/atom): 0.448

Unit cell a=3.9449 b=3.9449 c=4.1057 alpha=90.00 beta=90.00 gamma=90.00
Sites, in units of the cell vectors:
Nb (0.0000, 0.0000, 0.0000)
H (0.5000, 0.5000, 0.5000)
Rh (0.0000, 0.5000, 0.5000)
Rh (0.5000, 0.0000, 0.5000)
W (0.5000, 0.5000, 0.0000)

The most stable arrangement is run w, and the next structure is 9 meV per atom less stable.